# Np2MnAg2S6

A relaxed structure of Np2MnAg2S6 (GGA-PBE, Alexandria).

Structure (POSCAR):
```
Np2MnAg2S6
1.0
6.759 -0.050 0.028
-3.384 5.852 0.028
-1.242 -2.135 6.063
Np Ag S Mn
2 2 6 1
direct
0.334 0.666 0.500
0.666 0.334 0.500
0.181 0.819 0.000
0.819 0.181 0.000
0.596 0.918 0.268
0.404 0.082 0.732
0.771 0.771 0.729
0.229 0.229 0.271
0.918 0.596 0.268
0.082 0.404 0.732
0.000 0.000 0.500
```

Calculated values
**D(E_F)**: 1.277 states/eV/atom
**M_tot**: 1.000 μB per atom
**Calculated volume**: 21.78 Å³ per atom
**E_tot**: -6.75 eV per atom


# Np3MnAg3S8

A relaxed structure of Np3MnAg3S8 (GGA-PBE, Alexandria).

Structure (POSCAR):
```
Np3MnAg3S8
1.0
7.922 -0.007 0.044
-3.969 6.857 -0.073
0.043 -4.563 6.129
S Np Ag Mn
8 3 3 1
direct
0.235 0.993 0.728
0.765 0.007 0.272
0.754 0.993 0.731
0.246 0.007 0.269
0.748 0.495 0.743
0.239 0.477 0.731
0.252 0.505 0.257
0.761 0.523 0.269
0.500 0.000 0.500
0.500 0.500 0.500
0.000 0.500 0.500
0.500 0.500 0.000
0.000 0.500 0.000
0.000 0.000 0.000
0.000 0.000 0.500
```

Calculated values
**D(E_F)**: 1.879 states/eV/atom
**M_tot**: 0.085 μB per atom
**Calculated volume**: 22.06 Å³ per atom
**E_tot**: -6.73 eV per atom


# NpMnAgS4

A relaxed structure of NpMnAgS4 (GGA-PBE, Alexandria).

Structure (POSCAR):
```
NpMnAgS4
1.0
7.571 0.000 0.000
-3.785 6.344 -0.879
0.000 -4.205 6.916
S Mn Ag Np
8 2 2 2
direct
0.737 0.008 0.254
0.239 0.478 0.287
0.761 0.522 0.308
0.263 0.992 0.746
0.761 0.522 0.713
0.730 0.992 0.746
0.239 0.478 0.692
0.270 0.008 0.254
0.000 0.500 0.500
0.500 0.500 0.500
0.168 0.336 0.918
0.832 0.664 0.082
0.500 0.000 0.000
0.500 0.000 0.500
```

Calculated values
**D(E_F)**: 1.083 states/eV/atom
**M_tot**: 1.001 μB per atom
**Calculated volume**: 21.73 Å³ per atom
**E_tot**: -6.69 eV per atom


# Np3MnAg3Se8

A relaxed structure of Np3MnAg3Se8 (GGA-PBE, Alexandria).

Structure (POSCAR):
```
Np3MnAg3Se8
1.0
-6.133 0.673 5.460
6.989 -3.820 2.105
-0.194 7.882 -1.189
Se Np Ag Mn
8 3 3 1
direct
0.749 0.499 0.748
0.763 0.526 0.267
0.763 0.003 0.266
0.240 0.003 0.266
0.237 0.997 0.734
0.760 0.997 0.734
0.237 0.474 0.733
0.251 0.501 0.252
0.500 0.000 0.500
0.000 0.500 0.500
0.500 0.500 0.500
0.500 0.500 0.000
0.000 0.500 0.000
0.000 0.000 0.000
0.000 0.000 0.500
```

Calculated values
**D(E_F)**: 2.069 states/eV/atom
**M_tot**: 1.000 μB per atom
**Calculated volume**: 25.06 Å³ per atom
**E_tot**: -6.29 eV per atom


# NpMn2Ag3Se6

A relaxed structure of NpMn2Ag3Se6 (GGA-PBE, Alexandria).

Structure (POSCAR):
```
NpMn2Ag3Se6
1.0
-6.395 -2.073 0.705
4.996 -4.324 1.427
0.407 3.861 5.625
Se Mn Ag Np
6 2 3 1
direct
0.586 0.942 0.763
0.299 0.299 0.785
0.701 0.701 0.215
0.942 0.586 0.763
0.058 0.414 0.237
0.414 0.058 0.237
0.674 0.326 0.000
0.326 0.674 0.000
0.134 0.866 0.500
0.866 0.134 0.500
0.500 0.500 0.500
0.000 0.000 0.000
```

Calculated values
**D(E_F)**: 0.873 states/eV/atom
**M_tot**: 1.000 μB per atom
**Calculated volume**: 21.89 Å³ per atom
**E_tot**: -5.49 eV per atom